## Ho4Sn2Sb (GGA-PBE)

Data for a relaxed Ho4Sn2Sb crystal.

Lattice parameters (Å, degrees): 6.090 6.474 10.186 90.00 99.06 90.00
Fractional coordinates of all 14 atoms:
Ho 0.572 0.506 0.267
Ho 0.967 0.750 0.840
Ho 0.033 0.250 0.160
Ho 0.572 0.994 0.267
Ho 0.861 0.250 0.551
Ho 0.428 0.006 0.733
Ho 0.428 0.494 0.733
Ho 0.139 0.750 0.449
Sn 0.505 0.750 0.992
Sn 0.495 0.250 0.008
Sn 0.312 0.250 0.457
Sn 0.688 0.750 0.543
Sb 0.047 0.750 0.156
Sb 0.953 0.250 0.844

Computed properties:
* formation energy without anion corrections: -0.62 eV per atom
* DOS(E_F): 0.46 states/eV/atom
* mass density: 8.5 g/cm3